This record from the Alexandria database describes LaTe2Pb2 at its PBEsol-relaxed geometry. The functional is SCAN.

Calculated values
As for the uncorrected formation energy: -0.498 eV per atom. The calculated total energy comes out at -54.332 eV per atom. The calculation puts the density of states at the Fermi level at 1.91 states/eV/f.u.

Geometry as CIF:
```
data_LaTe2Pb2
_chemical_formula_sum 'La2 Te4 Pb4'
_symmetry_space_group_name_H-M 'I 4/m m m'
_symmetry_Int_Tables_number 139
_symmetry_space_group_name_Hall '-I 4 2'
_cell_length_a 6.071
_cell_length_b 6.071
_cell_length_c 9.229
_cell_angle_alpha 90.00
_cell_angle_beta 90.00
_cell_angle_gamma 90.00
loop_
_atom_site_label
_atom_site_type_symbol
_atom_site_fract_x
_atom_site_fract_y
_atom_site_fract_z
La1 La 0.000 0.000 0.000
Te1 Te 0.000 0.500 0.250
Pb1 Pb 0.000 0.000 0.344
```

=====

This record from the Alexandria database describes SrZrW2 at its PBEsol-relaxed geometry. The functional is SCAN.

Calculated values
For the energy above the lowest structure with this stoichiometry, the calculation gives 0 meV per atom. The calculated total energy comes out at -47.535 eV per atom. Its formation energy is 0.55 eV per atom. The calculation puts the density of states at the Fermi level at 4.59 states/eV/f.u.

Geometry as CIF:
```
data_SrZrW2
_chemical_formula_sum 'Sr1 Zr1 W2'
_symmetry_space_group_name_H-M 'P 4 m m'
_symmetry_Int_Tables_number 99
_symmetry_space_group_name_Hall 'P 4 -2'
_cell_length_a 3.238
_cell_length_b 3.238
_cell_length_c 8.575
_cell_angle_alpha 90.00
_cell_angle_beta 90.00
_cell_angle_gamma 90.00
loop_
_atom_site_label
_atom_site_type_symbol
_atom_site_fract_x
_atom_site_fract_y
_atom_site_fract_z
Sr1 Sr 0.000 0.000 0.000
Zr1 Zr 0.500 0.500 0.636
W1 W 0.000 0.000 0.436
W2 W 0.500 0.500 0.281
```

=====

This record from the Alexandria database describes Tl2FeMo at its PBEsol-relaxed geometry. The functional is SCAN.

Calculated values
For the energy above the lowest structure with this stoichiometry, the calculation gives 129 meV per atom. The calculated total energy comes out at -48.650 eV per atom. Its formation energy is 0.78 eV per atom. The calculation puts the density of states at the Fermi level at 2.39 states/eV/f.u.

Geometry as CIF:
```
data_Tl2FeMo
_chemical_formula_sum 'Tl2 Fe1 Mo1'
_symmetry_space_group_name_H-M 'P 1 2/m 1'
_symmetry_Int_Tables_number 10
_symmetry_space_group_name_Hall '-P 2y'
_cell_length_a 2.928
_cell_length_b 4.443
_cell_length_c 5.628
_cell_angle_alpha 90.00
_cell_angle_beta 98.10
_cell_angle_gamma 90.00
loop_
_atom_site_label
_atom_site_type_symbol
_atom_site_fract_x
_atom_site_fract_y
_atom_site_fract_z
Tl1 Tl 0.182 0.000 0.255
Fe1 Fe 0.000 0.500 0.500
Mo1 Mo 0.500 0.500 0.000
```

=====

This record from the Alexandria database describes TaTiAs2Se at its PBEsol-relaxed geometry. The functional is SCAN.

Calculated values
As for the uncorrected formation energy: 0.288 eV per atom. The calculated total energy comes out at -28.327 eV per atom. The calculation puts the density of states at the Fermi level at 2.74 states/eV/f.u.

Geometry as CIF:
```
data_TaTiAs2Se
_chemical_formula_sum 'Ta1 Ti1 As2 Se1'
_symmetry_space_group_name_H-M 'P 4/m m m'
_symmetry_Int_Tables_number 123
_symmetry_space_group_name_Hall '-P 4 2'
_cell_length_a 4.919
_cell_length_b 4.919
_cell_length_c 4.911
_cell_angle_alpha 90.00
_cell_angle_beta 90.00
_cell_angle_gamma 90.00
loop_
_atom_site_label
_atom_site_type_symbol
_atom_site_fract_x
_atom_site_fract_y
_atom_site_fract_z
Ta1 Ta 0.000 0.000 0.000
Ti1 Ti 0.500 0.500 0.500
As1 As 0.000 0.500 0.000
Se1 Se 0.000 0.000 0.500
```

=====

This record from the Alexandria database describes Mg2ZrRe at its PBEsol-relaxed geometry. The functional is SCAN.

Calculated values
For the energy above the lowest structure with this stoichiometry, the calculation gives 0 meV per atom. The calculated total energy comes out at -27.892 eV per atom. Its formation energy is 0.04 eV per atom. The calculation puts the density of states at the Fermi level at 3.16 states/eV/f.u.

Geometry as CIF:
```
data_Mg2ZrRe
_chemical_formula_sum 'Mg2 Zr1 Re1'
_symmetry_space_group_name_H-M 'P 4 m m'
_symmetry_Int_Tables_number 99
_symmetry_space_group_name_Hall 'P 4 -2'
_cell_length_a 3.351
_cell_length_b 3.351
_cell_length_c 7.003
_cell_angle_alpha 90.00
_cell_angle_beta 90.00
_cell_angle_gamma 90.00
loop_
_atom_site_label
_atom_site_type_symbol
_atom_site_fract_x
_atom_site_fract_y
_atom_site_fract_z
Mg1 Mg 0.000 0.000 0.000
Mg2 Mg 0.500 0.500 0.272
Zr1 Zr 0.500 0.500 0.691
Re1 Re 0.000 0.000 0.505
```

=====

This record from the Alexandria database describes ReNiPt at its PBEsol-relaxed geometry. The functional is SCAN.

Calculated values
For the energy above the lowest structure with this stoichiometry, the calculation gives 502 meV per atom. The calculated total energy comes out at -52.091 eV per atom. Its formation energy is 0.40 eV per atom. The calculation puts the density of states at the Fermi level at 2.71 states/eV/f.u.

Geometry as CIF:
```
data_ReNiPt
_chemical_formula_sum 'Re4 Ni4 Pt4'
_symmetry_space_group_name_H-M 'F -4 3 m'
_symmetry_Int_Tables_number 216
_symmetry_space_group_name_Hall 'F -4 2 3'
_cell_length_a 5.621
_cell_length_b 5.621
_cell_length_c 5.621
_cell_angle_alpha 90.00
_cell_angle_beta 90.00
_cell_angle_gamma 90.00
loop_
_atom_site_label
_atom_site_type_symbol
_atom_site_fract_x
_atom_site_fract_y
_atom_site_fract_z
Re1 Re 0.000 0.000 0.000
Ni1 Ni 0.250 0.250 0.750
Pt1 Pt 0.000 0.000 0.500
```

=====

This record from the Alexandria database describes Zr3SeN at its PBEsol-relaxed geometry. The functional is SCAN.

Calculated values
As for the uncorrected formation energy: -0.771 eV per atom. The calculated total energy comes out at -25.064 eV per atom. The calculation puts the density of states at the Fermi level at 3.80 states/eV/f.u.

Geometry as CIF:
```
data_Zr3SeN
_chemical_formula_sum 'Zr3 Se1 N1'
_symmetry_space_group_name_H-M 'P m -3 m'
_symmetry_Int_Tables_number 221
_symmetry_space_group_name_Hall '-P 4 2 3'
_cell_length_a 4.411
_cell_length_b 4.411
_cell_length_c 4.411
_cell_angle_alpha 90.00
_cell_angle_beta 90.00
_cell_angle_gamma 90.00
loop_
_atom_site_label
_atom_site_type_symbol
_atom_site_fract_x
_atom_site_fract_y
_atom_site_fract_z
Zr1 Zr 0.000 0.000 0.500
Se1 Se 0.500 0.500 0.500
N1 N 0.000 0.000 0.000
```

=====

This record from the Alexandria database describes KRh at its PBEsol-relaxed geometry. The functional is SCAN.

Calculated values
For the energy above the lowest structure with this stoichiometry, the calculation gives 0 meV per atom. The calculated total energy comes out at -20.666 eV per atom. Its formation energy is 0.38 eV per atom. The calculation puts the density of states at the Fermi level at 1.73 states/eV/f.u.

Geometry as CIF:
```
data_KRh
_chemical_formula_sum 'K2 Rh2'
_symmetry_space_group_name_H-M 'P m m n'
_symmetry_Int_Tables_number 59
_cell_length_a 2.819
_cell_length_b 4.044
_cell_length_c 9.626
_cell_angle_alpha 90.00
_cell_angle_beta 90.00
_cell_angle_gamma 90.00
loop_
_symmetry_equiv_pos_as_xyz
'x,y,z'
'-x,-y,-z'
'-x+1/2,-y+1/2,z'
'x+1/2,y+1/2,-z'
'x+1/2,-y,-z'
'-x+1/2,y,z'
'-x,y+1/2,-z'
'x,-y+1/2,z'
loop_
_atom_site_label
_atom_site_type_symbol
_atom_site_fract_x
_atom_site_fract_y
_atom_site_fract_z
K1 K 0.250 0.250 0.220
Rh1 Rh 0.250 0.750 0.466
```

=====

This record from the Alexandria database describes AlAsI2N at its PBEsol-relaxed geometry. The functional is SCAN.

Calculated values
As for the uncorrected formation energy: 0.680 eV per atom. The calculated total energy comes out at -21.463 eV per atom. The calculation puts the density of states at the Fermi level at 2.87 states/eV/f.u.

Geometry as CIF:
```
data_AlAsI2N
_chemical_formula_sum 'Al1 As1 I2 N1'
_symmetry_space_group_name_H-M 'P 4/m m m'
_symmetry_Int_Tables_number 123
_symmetry_space_group_name_Hall '-P 4 2'
_cell_length_a 5.933
_cell_length_b 5.933
_cell_length_c 3.660
_cell_angle_alpha 90.00
_cell_angle_beta 90.00
_cell_angle_gamma 90.00
loop_
_atom_site_label
_atom_site_type_symbol
_atom_site_fract_x
_atom_site_fract_y
_atom_site_fract_z
Al1 Al 0.000 0.000 0.000
As1 As 0.500 0.500 0.500
I1 I 0.000 0.500 0.500
N1 N 0.500 0.500 0.000
```

=====

This record from the Alexandria database describes CsSrCa3 at its PBEsol-relaxed geometry. The functional is SCAN.

Calculated values
The calculated total energy comes out at -17.107 eV per atom. Its formation energy is 0.71 eV per atom. The calculation puts the density of states at the Fermi level at 1.88 states/eV/f.u.

Geometry as CIF:
```
data_CsSrCa3
_chemical_formula_sum 'Cs1 Sr1 Ca3'
_symmetry_space_group_name_H-M 'P m -3 m'
_symmetry_Int_Tables_number 221
_symmetry_space_group_name_Hall '-P 4 2 3'
_cell_length_a 6.254
_cell_length_b 6.254
_cell_length_c 6.254
_cell_angle_alpha 90.00
_cell_angle_beta 90.00
_cell_angle_gamma 90.00
loop_
_atom_site_label
_atom_site_type_symbol
_atom_site_fract_x
_atom_site_fract_y
_atom_site_fract_z
Cs1 Cs 0.000 0.000 0.000
Sr1 Sr 0.500 0.500 0.500
Ca1 Ca 0.000 0.000 0.500
```